(1)
DFT (PBE-GGA) results for KIrSe2Br after structural relaxation.

For the energy above the most stable polymorph in this dataset, the calculation gives 1.430 eV/atom. For the formation energy without anion corrections, the calculation gives 1176 meV/atom. As for the space-group type: No. 123.

abc: 5.255 5.673 5.255
angles: 90.00 90.00 90.00
Sites, in units of the cell vectors:
K  0.000  0.500  0.000
Ir  0.500  0.500  0.500
Se  0.500  0.000  0.000
Se  0.000  0.000  0.500
Br  0.000  0.000  0.000

=====

(2)
DFT (PBE-GGA) results for Ta3GaH after structural relaxation.

For the energy above the most stable polymorph in this dataset, the calculation gives 0.000 eV/atom. As for the space-group type: No. 221.

abc: 4.155 4.155 4.155
angles: 90.00 90.00 90.00
Sites, in units of the cell vectors:
Ga  0.500  0.500  0.500
H  0.000  0.000  0.000
Ta  0.500  0.000  0.000
Ta  0.000  0.500  0.000
Ta  0.000  0.000  0.500

=====

(3)
DFT (PBE-GGA) results for Sc3Cd2Ga2 after structural relaxation.

Its formation energy is -2.2 eV per formula unit. As for the space-group type: No. 2.

abc: 4.734 4.729 8.413
angles: 90.12 106.21 120.14
Sites, in units of the cell vectors:
Sc  0.000  0.000  0.000
Sc  0.483  0.741  0.223
Sc  0.517  0.259  0.777
Cd  0.738  0.870  0.607
Cd  0.262  0.130  0.393
Ga  0.231  0.616  0.848
Ga  0.769  0.384  0.152

=====

(4)
DFT (PBE-GGA) results for TiZn2AuF after structural relaxation.

For the formation energy without anion corrections, the calculation gives -435 meV/atom. As for the space-group type: No. 123.

abc: 4.439 4.073 4.439
angles: 90.00 90.00 90.00
Sites, in units of the cell vectors:
Zn  0.000  0.000  0.500
Zn  0.500  0.000  0.000
Au  0.500  0.500  0.500
F  0.000  0.000  0.000
Ti  0.000  0.500  0.000

=====

(5)
DFT (PBE-GGA) results for CoNi after structural relaxation.

Its formation energy is 0.4 eV per formula unit. As for the space-group type: No. 124.

abc: 6.779 6.779 4.091
angles: 90.00 90.00 90.00
Sites, in units of the cell vectors:
Co  0.920  0.248  0.000
Co  0.248  0.080  0.000
Co  0.080  0.752  0.000
Co  0.752  0.920  0.000
Co  0.080  0.248  0.500
Co  0.248  0.920  0.500
Co  0.752  0.080  0.500
Co  0.920  0.752  0.500
Ni  0.583  0.250  0.000
Ni  0.250  0.417  0.000
Ni  0.750  0.583  0.000
Ni  0.417  0.750  0.000
Ni  0.250  0.583  0.500
Ni  0.583  0.750  0.500
Ni  0.750  0.417  0.500
Ni  0.417  0.250  0.500

=====

(6)
DFT (PBE-GGA) results for Nd2H2Pb after structural relaxation.

As for the space-group type: No. 139.

abc: 4.180 4.180 6.340
angles: 109.24 109.24 90.00
Sites, in units of the cell vectors:
Nd  0.653  0.653  0.307
Nd  0.347  0.347  0.693
H  0.250  0.750  0.500
H  0.750  0.250  0.500
Pb  0.000  0.000  0.000

=====

(7)
DFT (PBE-GGA) results for NaSc2TlC after structural relaxation.

Its formation energy is -0.5 eV per formula unit. As for the space-group type: No. 123.

abc: 4.507 4.507 4.990
angles: 90.00 90.00 90.00
Sites, in units of the cell vectors:
C  0.000  0.000  0.000
Sc  0.000  0.500  0.000
Sc  0.500  0.000  0.000
Na  0.000  0.000  0.500
Tl  0.500  0.500  0.500

=====

(8)
DFT (PBE-GGA) results for ScAlCo after structural relaxation.

Its formation energy is 1.6 eV per formula unit. As for the space-group type: No. 216.

abc: 4.350 4.350 4.350
angles: 60.00 60.00 60.00
Sites, in units of the cell vectors:
Sc  0.250  0.250  0.250
Co  0.500  0.500  0.500
Al  0.000  0.000  0.000

=====

| no. | total DFT energy (no corrections) (eV/cell) |
| --- | --- |
| 1 | -12.7 |
| 2 | -42.3 |
| 3 | -29.1 |
| 4 | -17.8 |
| 5 | -99.6 |
| 6 | -23.1 |
| 7 | -26.0 |
| 8 | -15.6 |